No. 1
Ta2CoTc: optimized geometry, PBEsol.

Cell and atoms, written as extended XYZ:
```
4
Lattice="3.132 0.000 0.000 0.000 3.132 0.000 0.000 0.000 6.018" Properties=species:S:1:pos:R:3 pbc="T T T"
Ta 0.000 0.000 1.461
Ta 0.000 0.000 4.557
Co 1.566 1.566 0.000
Tc 1.566 1.566 3.009
```

Total moment ... 0.74 μB per formula unit
DOS(E_F) ... 0.913 states/eV per atom
SG ... P4/mmm, No. 123
Distance to the lowest polymorph of the same formula ... 0.000 eV/atom

=====

No. 2
GaSe2IN: optimized geometry, PBEsol.

Cell and atoms, written as extended XYZ:
```
5
Lattice="5.235 0.000 0.000 0.000 5.235 0.000 0.000 0.000 3.671" Properties=species:S:1:pos:R:3 pbc="T T T"
Ga 0.000 0.000 0.000
Se 0.000 2.618 0.000
Se 2.618 0.000 0.000
I 2.618 2.618 1.836
N 0.000 0.000 1.836
```

Total moment ... 1.27 μB per formula unit
DOS(E_F) ... 0.760 states/eV per atom
SG ... P4/mmm, No. 123
Uncorrected formation energy ... 0.663 eV/atom

=====

No. 3
IrRhCl: optimized geometry, PBEsol.

Cell and atoms, written as extended XYZ:
```
12
Lattice="2.738 0.000 0.000 0.000 4.978 0.000 0.000 0.000 12.852" Properties=species:S:1:pos:R:3 pbc="T T T"
Ir 0.000 0.000 0.000
Ir 0.000 2.489 6.426
Ir 1.369 0.000 6.426
Ir 1.369 2.489 0.000
Rh 0.000 0.000 4.263
Rh 0.000 2.489 10.690
Rh 1.369 0.000 10.690
Rh 1.369 2.489 4.263
Cl 0.000 0.000 8.602
Cl 0.000 2.489 2.176
Cl 1.369 0.000 2.176
Cl 1.369 2.489 8.602
```

Total moment ... 0.00 μB per formula unit
DOS(E_F) ... 0.886 states/eV per atom
SG ... Fmm2, No. 42
Uncorrected formation energy ... 0.503 eV/atom
Distance to the lowest polymorph of the same formula ... 0.038 eV/atom

=====

No. 4
CoH14C3NCl3O2: optimized geometry, PBEsol.

Cell and atoms, written as extended XYZ:
```
96
Lattice="16.401 0.000 0.000 0.000 7.120 0.000 0.000 0.000 7.887" Properties=species:S:1:pos:R:3 pbc="T T T"
Co 0.000 0.000 0.000
Co 0.000 3.560 0.000
Co 8.200 0.000 3.943
Co 8.200 3.560 3.943
H 0.298 0.715 2.530
H 0.298 2.845 2.530
H 0.703 0.522 5.368
H 0.703 3.038 5.368
H 2.010 5.340 5.926
H 2.240 4.436 3.726
H 2.240 6.244 3.726
H 3.121 0.322 5.593
H 3.121 3.238 5.593
H 3.505 0.580 1.600
H 3.505 2.980 1.600
H 3.688 4.134 7.049
H 3.688 6.545 7.049
H 3.795 5.340 3.565
H 4.405 1.780 7.508
H 4.512 0.575 3.105
H 4.512 2.985 3.105
H 4.696 4.140 5.544
H 4.696 6.540 5.544
H 5.079 3.882 1.650
H 5.079 6.798 1.650
H 5.961 0.876 7.669
H 5.961 2.684 7.669
H 6.190 1.780 1.983
H 7.497 4.082 1.425
H 7.497 6.598 1.425
H 7.902 4.275 6.473
H 7.902 6.405 6.473
H 8.499 0.715 1.413
H 8.499 2.845 1.413
H 8.904 0.522 6.462
H 8.904 3.038 6.462
H 10.211 5.340 5.904
H 10.440 4.436 0.217
H 10.440 6.244 0.217
H 11.321 0.322 6.237
H 11.321 3.238 6.237
H 11.705 0.580 2.343
H 11.705 2.980 2.343
H 11.889 4.134 4.781
H 11.889 6.545 4.781
H 11.996 5.340 0.379
H 12.605 1.780 4.322
H 12.712 0.575 0.838
H 12.712 2.985 0.838
H 12.896 4.140 6.286
H 12.896 6.540 6.286
H 13.280 3.882 2.293
H 13.280 6.798 2.293
H 14.161 0.876 4.161
H 14.161 2.684 4.161
H 14.390 1.780 1.960
H 15.698 4.082 2.519
H 15.698 6.598 2.519
H 16.103 4.275 5.357
H 16.103 6.405 5.357
C 2.793 5.340 4.021
C 3.672 4.121 5.950
C 3.672 6.558 5.950
C 4.529 0.561 2.007
C 4.529 2.999 2.007
C 5.407 1.780 0.077
C 10.993 5.340 7.809
C 11.872 4.121 5.880
C 11.872 6.558 5.880
C 12.729 0.561 1.936
C 12.729 2.999 1.936
C 13.608 1.780 3.866
N 2.965 5.340 5.492
N 5.235 1.780 1.549
N 11.166 5.340 6.338
N 13.436 1.780 2.395
Cl 1.470 1.780 3.908
Cl 1.544 5.340 0.559
Cl 1.601 1.780 0.080
Cl 6.600 5.340 4.023
Cl 6.657 1.780 4.502
Cl 6.731 5.340 7.851
Cl 9.670 1.780 0.035
Cl 9.744 5.340 3.384
Cl 9.801 1.780 3.863
Cl 14.800 5.340 7.806
Cl 14.857 1.780 7.328
Cl 14.931 5.340 3.979
O 0.428 3.845 5.890
O 0.428 6.835 5.890
O 7.772 0.285 1.947
O 7.772 3.275 1.947
O 8.629 3.845 5.940
O 8.629 6.835 5.940
O 15.972 0.285 1.996
O 15.972 3.275 1.996
```

Total moment ... 3.00 μB per formula unit
DOS(E_F) ... 0.285 states/eV per atom
SG ... Pnma, No. 62
Energy ... -5.003 eV/atom

=====

No. 5
Ba3CrH: optimized geometry, PBEsol.

Cell and atoms, written as extended XYZ:
```
5
Lattice="5.989 0.000 0.000 0.000 5.989 0.000 0.000 0.000 5.989" Properties=species:S:1:pos:R:3 pbc="T T T"
Ba 0.000 0.000 2.994
Ba 0.000 2.994 0.000
Ba 2.994 0.000 0.000
Cr 0.000 0.000 0.000
H 2.994 2.994 2.994
```

Total moment ... 2.20 μB per formula unit
DOS(E_F) ... 0.900 states/eV per atom
SG ... Pm-3m, No. 221
Energy ... -3.116 eV/atom

=====

No. 6
HfZnSiP2: optimized geometry, PBEsol.

Cell and atoms, written as extended XYZ:
```
5
Lattice="4.538 0.000 0.000 0.000 4.538 0.000 0.000 0.000 4.343" Properties=species:S:1:pos:R:3 pbc="T T T"
Hf 0.000 0.000 0.000
Zn 2.269 2.269 0.000
Si 2.269 2.269 2.171
P 0.000 2.269 2.171
P 2.269 0.000 2.171
```

Total moment ... 0.00 μB per formula unit
DOS(E_F) ... 0.676 states/eV per atom
SG ... P4/mmm, No. 123
Uncorrected formation energy ... 0.506 eV/atom

=====

No. 7
HoGeRh: optimized geometry, PBEsol.

Cell and atoms, written as extended XYZ:
```
12
Lattice="6.806 0.000 0.000 0.000 4.252 0.000 0.000 0.000 7.424" Properties=species:S:1:pos:R:3 pbc="T T T"
Ho 0.010 1.063 1.443
Ho 3.393 3.189 5.155
Ho 3.413 1.063 2.269
Ho 6.796 3.189 5.982
Ge 1.441 3.189 2.924
Ge 1.962 1.063 6.636
Ge 4.844 3.189 0.789
Ge 5.365 1.063 4.501
Rh 1.063 1.063 4.214
Rh 2.340 3.189 0.502
Rh 4.466 1.063 6.922
Rh 5.743 3.189 3.210
```

Total moment ... 0.00 μB per formula unit
DOS(E_F) ... 0.469 states/eV per atom
SG ... Pnma, No. 62
Energy ... -7.033 eV/atom

=====

No. 8
Cs2SiPPd: optimized geometry, PBEsol.

Cell and atoms, written as extended XYZ:
```
5
Lattice="6.749 0.000 0.000 0.000 6.749 0.000 0.000 0.000 4.332" Properties=species:S:1:pos:R:3 pbc="T T T"
Cs 0.000 3.375 0.000
Cs 3.375 0.000 0.000
Si 0.000 0.000 2.166
P 0.000 0.000 0.000
Pd 3.375 3.375 2.166
```

Total moment ... 0.00 μB per formula unit
DOS(E_F) ... 1.019 states/eV per atom
SG ... P4/mmm, No. 123
Uncorrected formation energy ... 0.514 eV/atom